Material: ZrHgS2Cl
Method: DFT, GGA-PBE
State: relaxed

Calculated values
- E: -4.577 eV per atom
- Magnetic moment: 0.000 μB/atom
- Formation energy from raw total energies: -0.787 eV per atom
- Space-group type: P4/mmm

a = 5.0239 Å, b = 5.0239 Å, c = 5.1103 Å
α = 90.00°, β = 90.00°, γ = 90.00°
Last column: nearest neighbours and their distance in Å.
Element x y z (fractional)
S1 0.5000 0.0000 0.0000  2 Zr 2.51
S2 0.0000 0.5000 0.0000  2 Zr 2.51
Cl1 0.0000 0.0000 0.5000  2 Zr 2.56
Zr1 0.0000 0.0000 0.0000  4 S 2.51, 2 Cl 2.56
Hg1 0.5000 0.5000 0.5000  4 Cl 3.55, 8 S 3.58